# 1
Below is an optimized crystal structure of P2SO, with properties calculated at the PBE level.

Summary:
Formation energy (no corrections), eV/f.u.: 0.780
E above lowest polymorph, kJ per mole of atoms: 0.00
Crystal system: tetragonal

Lattice parameters (Å, degrees): 4.2272 4.2272 13.3848 90.00 90.00 90.00
Fractional coordinates of all 16 atoms:
P1 0.1389 0.2500 0.1250
P2 0.2500 0.6389 0.3750
P3 0.2500 0.8611 0.8750
P4 0.3611 0.2500 0.6250
P5 0.6389 0.7500 0.6250
P6 0.7500 0.1389 0.8750
P7 0.7500 0.3611 0.3750
P8 0.8611 0.7500 0.1250
S1 0.0000 0.0000 0.5000
S2 0.0000 0.5000 0.7500
S3 0.5000 0.0000 0.2500
S4 0.5000 0.5000 0.0000
O1 0.0000 0.0000 0.0000
O2 0.0000 0.5000 0.2500
O3 0.5000 0.0000 0.7500
O4 0.5000 0.5000 0.5000

---

# 2
Below is an optimized crystal structure of BeInSe2Br, with properties calculated at the PBE level.

Summary:
Formation energy (no corrections), eV/f.u.: -0.571
E above lowest polymorph, kJ per mole of atoms: 0.00
Crystal system: tetragonal

Lattice parameters (Å, degrees): 4.4412 4.4412 6.5413 90.00 90.00 90.00
Fractional coordinates of all 5 atoms:
Be1 0.0000 0.0000 0.0000
In1 0.5000 0.5000 0.5000
Se1 0.0000 0.5000 0.0000
Se2 0.5000 0.0000 0.0000
Br1 0.0000 0.0000 0.5000

---

# 3
Below is an optimized crystal structure of KTc2Rh, with properties calculated at the PBE level.

Summary:
E above lowest polymorph, kJ per mole of atoms: 61.03
Energy relative to the elements, eV/f.u.: 4.78
Crystal system: orthorhombic

Lattice parameters (Å, degrees): 5.3413 9.8077 2.6110 90.00 90.00 90.00
Fractional coordinates of all 8 atoms:
K1 0.0000 0.0000 0.0000
K2 0.5000 0.5000 0.0000
Tc1 0.2500 0.2500 0.5000
Tc2 0.2500 0.7500 0.5000
Tc3 0.7500 0.2500 0.5000
Tc4 0.7500 0.7500 0.5000
Rh1 0.0000 0.5000 0.0000
Rh2 0.5000 0.0000 0.0000

---

# 4
Below is an optimized crystal structure of NaMnBe2H, with properties calculated at the PBE level.

Summary:
DFT total energy, eV/cell: -14.164
Crystal system: tetragonal

Lattice parameters (Å, degrees): 4.6411 4.6411 3.1493 90.00 90.00 90.00
Fractional coordinates of all 5 atoms:
Na1 0.0000 0.0000 0.0000
Mn1 0.5000 0.5000 0.5000
Be1 0.0000 0.5000 0.0000
Be2 0.5000 0.0000 0.0000
H1 0.0000 0.0000 0.5000

---

# 5
Below is an optimized crystal structure of CrTc2I, with properties calculated at the PBE level.

Summary:
Formation energy (no corrections), eV/f.u.: 4.666
E above lowest polymorph, kJ per mole of atoms: 39.29
Crystal system: tetragonal

Lattice parameters (Å, degrees): 5.4827 5.4827 11.7500 90.00 90.00 90.00
Fractional coordinates of all 16 atoms:
Cr1 0.0000 0.0000 0.0000
Cr2 0.0000 0.5000 0.2500
Cr3 0.5000 0.0000 0.7500
Cr4 0.5000 0.5000 0.5000
Tc1 0.1899 0.2500 0.1250
Tc2 0.2500 0.6899 0.3750
Tc3 0.2500 0.8101 0.8750
Tc4 0.3101 0.2500 0.6250
Tc5 0.6899 0.7500 0.6250
Tc6 0.7500 0.1899 0.8750
Tc7 0.7500 0.3101 0.3750
Tc8 0.8101 0.7500 0.1250
I1 0.0000 0.0000 0.5000
I2 0.0000 0.5000 0.7500
I3 0.5000 0.0000 0.2500
I4 0.5000 0.5000 0.0000

---

# 6
Below is an optimized crystal structure of Tl2SnBiTe4, with properties calculated at the PBE level.

Summary:
Formation energy (no corrections), eV/f.u.: -2.208
Crystal system: monoclinic

Lattice parameters (Å, degrees): 7.8474 4.5021 8.3008 90.00 108.34 90.00
Fractional coordinates of all 8 atoms:
Tl1 0.0000 0.0000 0.0000
Tl2 0.5000 0.5000 0.0000
Sn1 0.0000 0.5000 0.5000
Bi1 0.5000 0.0000 0.5000
Te1 0.2392 0.0000 0.7251
Te2 0.2547 0.5000 0.2743
Te3 0.7453 0.5000 0.7257
Te4 0.7608 0.0000 0.2749

---

# 7
Below is an optimized crystal structure of Sr3LiIn4, with properties calculated at the PBE level.

Summary:
Energy relative to the elements, eV/f.u.: -2.94
Crystal system: tetragonal

Lattice parameters (Å, degrees): 3.8846 3.8846 16.1656 90.00 90.00 90.00
Fractional coordinates of all 8 atoms:
Sr1 0.0000 0.0000 0.0000
Sr2 0.0000 0.0000 0.2648
Sr3 0.0000 0.0000 0.7352
Li1 0.0000 0.0000 0.5000
In1 0.5000 0.5000 0.1281
In2 0.5000 0.5000 0.4066
In3 0.5000 0.5000 0.5934
In4 0.5000 0.5000 0.8719

---

# 8
Below is an optimized crystal structure of Cs2Pb2I5, with properties calculated at the PBE level.

Summary:
Formation energy (no corrections), eV/f.u.: -8.014
E above lowest polymorph, kJ per mole of atoms: 4.49
Crystal system: monoclinic

Lattice parameters (Å, degrees): 9.2228 9.2228 9.8540 121.92 121.92 43.22
Fractional coordinates of all 9 atoms:
Cs1 0.1113 0.1113 0.2795
Cs2 0.8887 0.8887 0.7205
Pb1 0.3823 0.3823 0.1773
Pb2 0.6177 0.6177 0.8227
I1 0.1544 0.1544 0.8911
I2 0.3777 0.3777 0.4978
I3 0.5000 0.5000 0.0000
I4 0.6223 0.6223 0.5022
I5 0.8456 0.8456 0.1089

---

# 9
Below is an optimized crystal structure of TaCl, with properties calculated at the PBE level.

Summary:
Formation energy (no corrections), eV/f.u.: 1.724
Crystal system: cubic

Lattice parameters (Å, degrees): 6.7572 6.7572 6.7572 90.00 90.00 90.00
Fractional coordinates of all 16 atoms:
Ta1 0.1250 0.1250 0.1250
Ta2 0.1250 0.6250 0.6250
Ta3 0.3750 0.3750 0.8750
Ta4 0.3750 0.8750 0.3750
Ta5 0.6250 0.1250 0.6250
Ta6 0.6250 0.6250 0.1250
Ta7 0.8750 0.3750 0.3750
Ta8 0.8750 0.8750 0.8750
Cl1 0.1250 0.1250 0.6250
Cl2 0.1250 0.6250 0.1250
Cl3 0.3750 0.3750 0.3750
Cl4 0.3750 0.8750 0.8750
Cl5 0.6250 0.1250 0.1250
Cl6 0.6250 0.6250 0.6250
Cl7 0.8750 0.3750 0.8750
Cl8 0.8750 0.8750 0.3750

---

# 10
Below is an optimized crystal structure of ScCuNiSn, with properties calculated at the PBE level.

Summary:
Energy relative to the elements, eV/f.u.: -1.85
Crystal system: cubic

Lattice parameters (Å, degrees): 6.3373 6.3373 6.3373 90.00 90.00 90.00
Fractional coordinates of all 16 atoms:
Sc1 0.0000 0.0000 0.0000
Sc2 0.0000 0.5000 0.5000
Sc3 0.5000 0.0000 0.5000
Sc4 0.5000 0.5000 0.0000
Cu1 0.2500 0.2500 0.7500
Cu2 0.2500 0.7500 0.2500
Cu3 0.7500 0.2500 0.2500
Cu4 0.7500 0.7500 0.7500
Ni1 0.2500 0.2500 0.2500
Ni2 0.2500 0.7500 0.7500
Ni3 0.7500 0.2500 0.7500
Ni4 0.7500 0.7500 0.2500
Sn1 0.0000 0.0000 0.5000
Sn2 0.0000 0.5000 0.0000
Sn3 0.5000 0.0000 0.0000
Sn4 0.5000 0.5000 0.5000

---

# 11
Below is an optimized crystal structure of InHgTe2, with properties calculated at the PBE level.

Summary:
Formation energy (no corrections), eV/f.u.: -0.709
Crystal system: tetragonal

Lattice parameters (Å, degrees): 4.3916 4.3916 6.1613 90.00 90.00 90.00
Fractional coordinates of all 4 atoms:
In1 0.0000 0.0000 0.0000
Hg1 0.5000 0.5000 0.5010
Te1 0.0000 0.0000 0.5002
Te2 0.5000 0.5000 0.0007

---

# 12
Below is an optimized crystal structure of Y4ScTl2, with properties calculated at the PBE level.

Summary:
E above lowest polymorph, kJ per mole of atoms: 0.00
Energy relative to the elements, eV/f.u.: -1.13
Crystal system: orthorhombic

Lattice parameters (Å, degrees): 8.5743 10.1870 4.7427 90.00 90.00 90.00
Fractional coordinates of all 14 atoms:
Y1 0.2113 0.0000 0.0000
Y2 0.2500 0.2500 0.5000
Y3 0.2500 0.7500 0.5000
Y4 0.2887 0.5000 0.0000
Y5 0.7113 0.5000 0.0000
Y6 0.7500 0.2500 0.5000
Y7 0.7500 0.7500 0.5000
Y8 0.7887 0.0000 0.0000
Sc1 0.0000 0.5000 0.5000
Sc2 0.5000 0.0000 0.5000
Tl1 0.0000 0.2860 0.0000
Tl2 0.0000 0.7140 0.0000
Tl3 0.5000 0.2140 0.0000
Tl4 0.5000 0.7860 0.0000